V2BrF GGA+U relaxed; density of states at the Fermi level = 0.72 states/eV/cell; calculated total energy = -18.122 eV/cell
1.0
0.0000 3.2627 3.2627
3.2627 0.0000 3.2627
3.2627 3.2627 0.0000
V Br F
2 1 1
direct
0.2500 0.2500 0.2500 V
0.7500 0.7500 0.7500 V
0.5000 0.5000 0.5000 Br
0.0000 0.0000 0.0000 F